## 1
Computed, not measured: Tb2TmFe after structural relaxation at the PBE level of DFT.

Calculated values
DOS(E_F): 3.5 states/eV/f.u.
V: 402 Å³/cell
SG: Pnma, No. 62

```
16
Lattice="7.057 0.000 0.000 0.000 9.170 0.000 0.000 0.000 6.220" Properties=species:S:1:pos:R:3 pbc="T T T"
Tb 1.232 0.613 1.078
Tb 1.232 3.972 1.078
Tb 2.297 5.198 4.188
Tb 2.297 8.557 4.188
Tb 4.760 0.613 2.032
Tb 4.760 3.972 2.032
Tb 5.825 5.198 5.142
Tb 5.825 8.557 5.142
Tm 0.344 2.293 3.990
Tm 3.184 6.878 0.880
Tm 3.872 2.293 5.340
Tm 6.713 6.878 2.230
Fe 0.782 6.878 6.018
Fe 2.747 2.293 2.908
Fe 4.310 6.878 3.312
Fe 6.275 2.293 0.202
```

## 2
Computed, not measured: Tb2TmFe after structural relaxation at the PBE level of DFT.

Calculated values
DOS(E_F): 6.8 states/eV/f.u.
V: 107 Å³/cell
SG: R-3m, No. 166

```
4
Lattice="1.681 0.970 10.934 -1.681 0.970 10.934 0.000 -1.941 10.934" Properties=species:S:1:pos:R:3 pbc="T T T"
Tb 0.000 0.000 2.585
Tb 0.000 0.000 30.217
Tm 0.000 0.000 16.401
Fe 0.000 0.000 0.000
```

Going by the energies, 1 is most stable and the next is 588 meV per atom up.